VASP calculation (PBE-GGA) on a relaxed Th2P3Rh5 crystal.

Values from the calculation:
- M_tot: 0.00 μB per formula unit
- E_form: -10.1 eV/f.u.
- V: 178.2 Å³/f.u.

The structure in CIF format:
```
data_Th2P3Rh5
_cell_length_a 4.097
_cell_length_b 23.054
_cell_length_c 7.546
_cell_angle_alpha 90.00
_cell_angle_beta 90.00
_cell_angle_gamma 90.00
_symmetry_space_group_name_H-M 'C m c 21'
_symmetry_Int_Tables_number 36
loop_
_symmetry_equiv_pos_as_xyz
'x,y,z'
'-x,-y,z+1/2'
'-x,y,z'
'x,-y,z+1/2'
'x+1/2,y+1/2,z'
'-x+1/2,-y+1/2,z+1/2'
'-x+1/2,y+1/2,z'
'x+1/2,-y+1/2,z+1/2'
loop_
_atom_site_label
_atom_site_type_symbol
_atom_site_fract_x
_atom_site_fract_y
_atom_site_fract_z
_atom_site_occupancy
Th1 Th 0.000 0.042 0.000 1
Th2 Th 0.000 0.314 0.045 1
P1 P 0.000 0.104 0.681 1
P2 P 0.000 0.289 0.458 1
P3 P 0.000 0.461 0.797 1
Rh1 Rh 0.000 0.087 0.380 1
Rh2 Rh 0.000 0.170 0.915 1
Rh3 Rh 0.000 0.212 0.269 1
Rh4 Rh 0.000 0.364 0.665 1
Rh5 Rh 0.000 0.453 0.122 1
```